# 1
## Tm5Ge2Sb2 (PBE-GGA)

Data for a relaxed structure of Tm5Ge2Sb2.

Calculated values
N(E_F), states/eV/atom: 0.63
Raw formation energy, eV/atom: -0.9419
Space group: No. 64

a b c (Å): 8.431 8.431 7.841
angles (deg): 90.00 90.00 124.77
Fractional coordinates of all 18 atoms:
Tm (0.036, 0.289, 0.338)
Tm (0.964, 0.711, 0.662)
Tm (0.464, 0.211, 0.838)
Tm (0.789, 0.536, 0.162)
Tm (0.536, 0.789, 0.162)
Tm (0.211, 0.464, 0.838)
Tm (0.711, 0.964, 0.662)
Tm (0.289, 0.036, 0.338)
Tm (0.000, 0.000, 0.000)
Tm (0.500, 0.500, 0.500)
Ge (0.359, 0.359, 0.140)
Ge (0.641, 0.641, 0.860)
Ge (0.141, 0.141, 0.640)
Ge (0.859, 0.859, 0.360)
Sb (0.795, 0.205, 0.000)
Sb (0.205, 0.795, 0.000)
Sb (0.705, 0.295, 0.500)
Sb (0.295, 0.705, 0.500)



# 2
## TmGeSb (PBE-GGA)

Data for a relaxed structure of TmGeSb.

Calculated values
N(E_F), states/eV/atom: 0.26
Raw formation energy, eV/atom: -0.4136
Space group: No. 139

a b c (Å): 4.136 4.136 10.264
angles (deg): 101.62 101.62 90.00
Fractional coordinates of all 6 atoms:
Sb (0.087, 0.087, 0.174)
Sb (0.913, 0.913, 0.826)
Tm (0.631, 0.631, 0.262)
Tm (0.369, 0.369, 0.738)
Ge (0.771, 0.771, 0.543)
Ge (0.229, 0.229, 0.457)



# 3
## Tm2GeSb (PBE-GGA)

Data for a relaxed structure of Tm2GeSb.

Calculated values
N(E_F), states/eV/atom: 0.35
Raw formation energy, eV/atom: -0.8944
Space group: No. 63
Energy above the most stable polymorph in this dataset, meV per atom: 0

a b c (Å): 4.124 4.308 11.632
angles (deg): 100.67 90.00 90.00
Fractional coordinates of all 8 atoms:
Tm (0.750, 0.676, 0.352)
Tm (0.250, 0.324, 0.648)
Tm (0.750, 0.940, 0.879)
Tm (0.250, 0.060, 0.121)
Ge (0.250, 0.457, 0.914)
Ge (0.750, 0.543, 0.086)
Sb (0.250, 0.190, 0.380)
Sb (0.750, 0.810, 0.620)